[1]
Density functional theory data (PBE) for a relaxed structure of La2PrIn3CuPd2.

Raw total energy in eV/atom: -4.788

a b c (Å): 4.0887 13.6048 7.8024
angles (deg): 90.00 90.00 90.00
Space group Amm2 (No. 38)
Unique sites:
La 0.0000 0.2075 0.0000
Pr 0.0000 0.0000 0.6190
In 0.5000 0.0000 0.9594
In 0.5000 0.1214 0.3301
Cu 0.0000 0.0000 0.2059
Pd 0.5000 0.1680 0.7078


[2]
Density functional theory data (PBE) for a relaxed structure of La3In3Cu2Pt.

Raw total energy in eV/atom: -4.619

a b c (Å): 7.5849 7.5849 4.3179
angles (deg): 90.00 90.00 120.00
Space group P-62m (No. 189)
Unique sites:
La 0.0000 0.4125 0.0000
In 0.0000 0.7517 0.5000
Cu 0.3333 0.6667 0.5000
Pt 0.0000 0.0000 0.0000


[3]
Density functional theory data (PBE) for a relaxed structure of LaIn5CuPt.

Raw total energy in eV/atom: -3.908

a b c (Å): 4.3481 8.0218 10.5988
angles (deg): 90.00 90.00 90.00
Space group Imm2 (No. 44)
Unique sites:
La 0.0000 0.0000 0.0000
In 0.0000 0.1942 0.3514
In 0.0000 0.1977 0.6524
In 0.0000 0.5000 0.9944
Cu 0.0000 0.5000 0.7440
Pt 0.0000 0.5000 0.2500


[4]
Density functional theory data (PBE) for a relaxed structure of La3In3CuPt2.

Raw total energy in eV/atom: -5.140

a b c (Å): 7.8116 7.8116 4.0870
angles (deg): 90.00 90.00 120.00
Space group P-62m (No. 189)
Unique sites:
La 0.0000 0.4180 0.0000
In 0.0000 0.7575 0.5000
Cu 0.0000 0.0000 0.0000
Pt 0.3333 0.6667 0.5000


[5]
Density functional theory data (PBE) for a relaxed structure of La2InCuSe5.

Raw total energy in eV/atom: -5.073

a b c (Å): 12.2163 4.1375 17.5898
angles (deg): 90.00 90.00 90.00
Space group Pnma (No. 62)
Unique sites:
La 0.0221 0.2500 0.1785
La 0.1372 0.7500 0.5927
In 0.1912 0.7500 0.3607
Cu 0.0759 0.7500 0.9979
Se 0.0166 0.2500 0.6944
Se 0.1012 0.2500 0.9231
Se 0.1082 0.2500 0.4631
Se 0.1820 0.7500 0.1140
Se 0.2404 0.7500 0.7707


[6]
Density functional theory data (PBE) for a relaxed structure of LiLuInCu.

Energy relative to the lowest polymorph listed for this composition in meV/atom: 0.0
Raw total energy in eV/atom: -3.560

a b c (Å): 6.5725 6.5725 6.5725
angles (deg): 90.00 90.00 90.00
Space group F-43m (No. 216)
Unique sites:
Li 0.0000 0.0000 0.0000
Lu 0.2500 0.2500 0.7500
In 0.2500 0.2500 0.2500
Cu 0.0000 0.0000 0.5000


[7]
Density functional theory data (PBE) for a relaxed structure of LiLuInCu.

Energy relative to the lowest polymorph listed for this composition in meV/atom: 206.3
Raw total energy in eV/atom: -3.353

a b c (Å): 6.6946 6.6946 6.6946
angles (deg): 90.00 90.00 90.00
Space group F-43m (No. 216)
Unique sites:
Li 0.0000 0.0000 0.0000
Lu 0.2500 0.2500 0.2500
In 0.0000 0.0000 0.5000
Cu 0.2500 0.2500 0.7500


[8]
Density functional theory data (PBE) for a relaxed structure of Li2Mg2In2CuPd.

Raw total energy in eV/atom: -3.035

a b c (Å): 4.5638 4.5638 6.4615
angles (deg): 90.00 90.00 90.00
Space group P-4m2 (No. 115)
Unique sites:
Li 0.0000 0.0000 0.0000
Li 0.5000 0.5000 0.5000
Mg 0.0000 0.5000 0.2484
In 0.0000 0.5000 0.7456
Cu 0.0000 0.0000 0.5000
Pd 0.5000 0.5000 0.0000


[9]
Density functional theory data (PBE) for a relaxed structure of Li2Mg2InCu2Sn.

Raw total energy in eV/atom: -2.856

a b c (Å): 4.5332 4.5332 6.4163
angles (deg): 90.00 90.00 90.00
Space group P-4m2 (No. 115)
Unique sites:
Li 0.0000 0.5000 0.2485
Mg 0.0000 0.0000 0.5000
Mg 0.5000 0.5000 0.0000
In 0.0000 0.0000 0.0000
Cu 0.0000 0.5000 0.7491
Sn 0.5000 0.5000 0.5000


[10]
Density functional theory data (PBE) for a relaxed structure of Li2YMgIn2Cu2.

Raw total energy in eV/atom: -3.350

a b c (Å): 4.6397 4.6397 6.6223
angles (deg): 90.00 90.00 90.00
Space group P-4m2 (No. 115)
Unique sites:
Li 0.0000 0.5000 0.2257
Y 0.0000 0.0000 0.5000
Mg 0.5000 0.5000 0.0000
In 0.0000 0.0000 0.0000
In 0.5000 0.5000 0.5000
Cu 0.0000 0.5000 0.7618


The lowest raw total energy belongs to which entry? La3In3CuPt2


Please write out number 7 again, unchanged.
Density functional theory data (PBE) for a relaxed structure of LiLuInCu.

Energy relative to the lowest polymorph listed for this composition in meV/atom: 206.3
Raw total energy in eV/atom: -3.353

a b c (Å): 6.6946 6.6946 6.6946
angles (deg): 90.00 90.00 90.00
Space group F-43m (No. 216)
Unique sites:
Li 0.0000 0.0000 0.0000
Lu 0.2500 0.2500 0.2500
In 0.0000 0.0000 0.5000
Cu 0.2500 0.2500 0.7500


Number 10 is which compound? Li2YMgIn2Cu2